[1]
First-principles (PBE) data for Pm2PrNd2 after structural relaxation, as listed in Alexandria via LeMat-Bulk.

Geometry as extended XYZ:
```
10
Lattice="-0.875 -4.627 -8.414 5.714 -7.042 3.278 -3.082 -1.872 1.350" Properties=species:S:1:pos:R:3 pbc="T T T"
Pm 2.611 -9.879 -2.248
Pr 0.000 0.000 0.000
Pm -0.384 -7.094 -5.225
Nd 2.012 -3.211 0.139
Nd 0.183 -3.810 -4.866
Nd 2.827 -8.457 -5.276
Pr 2.419 -5.834 -2.568
Pm 2.141 -6.447 1.438
Nd 4.656 -7.858 -0.271
Pm -0.855 -3.661 -1.538
```

Summary:
Energy of formation from the pure elements (eV per atom): 0.096
Relative energy among the computed polymorphs (meV per atom): 0
N(E_F) (states/eV/f.u.): 6.258
Space-group type: P4/mbm

=====

[2]
First-principles (PBE) data for MgBeCu3 after structural relaxation, as listed in Alexandria via LeMat-Bulk.

Geometry as extended XYZ:
```
5
Lattice="-1.683 0.186 -3.727 2.796 -2.644 -1.395 -2.470 -3.119 0.960" Properties=species:S:1:pos:R:3 pbc="T T T"
Cu -1.235 -1.560 0.480
Mg -0.679 -2.789 -2.081
Be 0.000 0.000 0.000
Cu -0.842 0.093 -1.863
Cu 1.398 -1.322 -0.697
```

Summary:
Energy of formation from the pure elements (eV per atom): 0.203
Relative energy among the computed polymorphs (meV per atom): 0
N(E_F) (states/eV/f.u.): 1.570
Space-group type: Pm-3m

=====

[3]
First-principles (PBE) data for La2CoAg after structural relaxation, as listed in Alexandria via LeMat-Bulk.

Geometry as extended XYZ:
```
8
Lattice="4.486 0.000 0.000 0.000 5.655 -1.873 0.000 -0.393 8.228" Properties=species:S:1:pos:R:3 pbc="T T T"
Ag 1.122 1.875 3.713
La 3.365 0.035 2.085
La 1.122 2.492 0.472
Co 3.365 0.463 7.703
Co 1.122 4.799 -1.347
La 1.122 5.226 4.271
Ag 3.365 3.387 2.642
La 3.365 2.769 5.884
```

Summary:
Energy of formation from the pure elements (eV per atom): -0.194
N(E_F) (states/eV/f.u.): 2.700
Space-group type: P2_1/m

=====

[4]
First-principles (PBE) data for Y5TlTe5 after structural relaxation, as listed in Alexandria via LeMat-Bulk.

Geometry as extended XYZ:
```
11
Lattice="6.192 0.000 0.000 -3.096 6.548 -2.252 0.000 0.088 8.709" Properties=species:S:1:pos:R:3 pbc="T T T"
Y 3.096 4.471 4.308
Y 0.000 2.164 2.149
Y 3.096 4.438 -0.053
Y 0.000 2.198 6.510
Te 3.096 2.240 2.167
Tl 0.000 0.000 0.000
Te 0.000 4.396 4.289
Te 3.096 2.255 6.488
Y 3.096 0.000 0.000
Te 0.000 4.381 -0.032
Te 0.000 0.044 4.354
```

Summary:
N(E_F) (states/eV/f.u.): 2.313
Space-group type: C2/m
Uncorrected formation energy (eV/atom): -1.22

=====

[5]
First-principles (PBE) data for ZnS after structural relaxation, as listed in Alexandria via LeMat-Bulk.

Geometry as extended XYZ:
```
4
Lattice="4.008 0.000 0.309 0.000 4.020 0.000 -0.417 0.000 5.630" Properties=species:S:1:pos:R:3 pbc="T T T"
S 0.900 3.015 1.404
S 2.692 1.005 4.536
Zn 1.002 1.005 0.077
Zn 2.589 3.015 5.862
```

Summary:
N(E_F) (states/eV/f.u.): 0.000
Space-group type: P2_1/m
Uncorrected formation energy (eV/atom): -0.58

=====

[6]
First-principles (PBE) data for La2HRu after structural relaxation, as listed in Alexandria via LeMat-Bulk.

Geometry as extended XYZ:
```
4
Lattice="3.980 0.000 0.000 1.990 3.447 0.000 1.990 1.149 6.984" Properties=species:S:1:pos:R:3 pbc="T T T"
Ru 5.970 3.447 6.964
La 1.990 1.149 5.346
H 3.980 2.298 3.516
La 1.990 1.149 1.634
```

Summary:
Relative energy among the computed polymorphs (meV per atom): 148
N(E_F) (states/eV/f.u.): 2.413
Space-group type: R3m

=====

[7]
First-principles (PBE) data for Sr2Ga3Au after structural relaxation, as listed in Alexandria via LeMat-Bulk.

Geometry as extended XYZ:
```
12
Lattice="-3.166 -5.245 -1.343 4.652 -3.718 1.968 -3.819 4.478 6.951" Properties=species:S:1:pos:R:3 pbc="T T T"
Ga -1.011 -0.001 2.388
Ga -2.186 -2.299 6.222
Au -2.047 -0.002 4.834
Sr 2.594 -4.120 1.097
Sr 0.788 -1.861 4.616
Ga 0.615 -6.779 1.675
Ga -0.147 -2.186 1.354
Ga -1.321 -4.484 5.188
Au -0.286 -4.483 2.743
Sr -1.108 -4.843 -0.471
Ga -2.948 2.294 5.902
Sr -3.121 -2.624 2.961
```

Summary:
Energy of formation from the pure elements (eV per atom): -0.570
Relative energy among the computed polymorphs (meV per atom): 5
N(E_F) (states/eV/f.u.): 3.247
Space-group type: Fmmm

=====

[8]
First-principles (PBE) data for Sc2Re3Tc after structural relaxation, as listed in Alexandria via LeMat-Bulk.

Geometry as extended XYZ:
```
6
Lattice="1.416 4.540 -2.239 -1.506 -4.054 -2.988 -4.557 -0.302 2.688" Properties=species:S:1:pos:R:3 pbc="T T T"
Sc -0.073 1.846 -2.464
Re -2.279 -0.151 1.344
Sc -4.575 -1.662 -0.075
Re -1.571 2.119 0.224
Re -2.324 0.092 -1.270
Tc 0.000 0.000 0.000
```

Summary:
Energy of formation from the pure elements (eV per atom): -0.296
N(E_F) (states/eV/f.u.): 4.423
Space-group type: C2/m